Density functional theory data (PBE-GGA) for a geometry-optimized PmCd4Pd structure.

a b c (Å): 8.122 8.122 8.122
angles (deg): 90.00 90.00 90.00
Space group F-43m (No. 216)
One atom of each set of equivalent atoms:
Pm 0.000 0.000 0.000
Cd 0.124 0.124 0.376
Pd 0.250 0.250 0.750

Computed properties:
The value obtained for the uncorrected energy is -14.7 eV/f.u. For the volume, the calculation gives 536 Å³/cell. The formation energy is -0.19 eV/atom. Its relative energy among the computed polymorphs is 167.9 meV/atom.